No. 1
The following is a PBE-GGA calculation of an optimized crystal structure of TbY4S5, from Alexandria via LeMat-Bulk.

Unit cell a=10.377 b=10.377 c=10.377 alpha=158.20 beta=149.06 gamma=38.17
Sites, in units of the cell vectors:
Tb (0.000, 0.000, 0.000)
Y (0.200, 0.200, 0.000)
Y (0.400, 0.400, 0.000)
Y (0.600, 0.600, 0.000)
Y (0.800, 0.800, 0.000)
S (0.100, 0.600, 0.500)
S (0.300, 0.800, 0.500)
S (0.500, 0.000, 0.500)
S (0.700, 0.200, 0.500)
S (0.900, 0.400, 0.500)


No. 2
The following is a PBE-GGA calculation of an optimized crystal structure of Tb3YS, from Alexandria via LeMat-Bulk.

Unit cell a=5.327 b=5.327 c=5.327 alpha=90.00 beta=90.00 gamma=90.00
Sites, in units of the cell vectors:
Tb (0.000, 0.000, 0.500)
Tb (0.000, 0.500, 0.000)
Tb (0.500, 0.000, 0.000)
Y (0.500, 0.500, 0.500)
S (0.000, 0.000, 0.000)


No. 3
The following is a PBE-GGA calculation of an optimized crystal structure of TbY3S, from Alexandria via LeMat-Bulk.

Unit cell a=5.317 b=5.317 c=5.317 alpha=90.00 beta=90.00 gamma=90.00
Sites, in units of the cell vectors:
Tb (0.000, 0.000, 0.000)
Y (0.000, 0.500, 0.500)
Y (0.500, 0.000, 0.500)
Y (0.500, 0.500, 0.000)
S (0.500, 0.500, 0.500)


No. 4
The following is a PBE-GGA calculation of an optimized crystal structure of TbY2S, from Alexandria via LeMat-Bulk.

Energy above the most stable polymorph in this dataset (meV per atom): 223

Unit cell a=10.242 b=10.242 c=10.242 alpha=20.68 beta=20.68 gamma=20.68
Sites, in units of the cell vectors:
Tb (0.000, 0.000, 0.000)
Y (0.112, 0.112, 0.112)
Y (0.888, 0.888, 0.888)
S (0.500, 0.500, 0.500)


No. 5
The following is a PBE-GGA calculation of an optimized crystal structure of TbYS, from Alexandria via LeMat-Bulk.

Energy above the most stable polymorph in this dataset (meV per atom): 0

Unit cell a=6.606 b=6.606 c=6.606 alpha=33.56 beta=33.56 gamma=33.56
Sites, in units of the cell vectors:
Tb (0.000, 0.000, 0.000)
Y (0.495, 0.495, 0.495)
S (0.247, 0.247, 0.247)


No. 6
The following is a PBE-GGA calculation of an optimized crystal structure of Tb4YS6, from Alexandria via LeMat-Bulk.

Unit cell a=6.746 b=6.746 c=19.913 alpha=90.00 beta=90.00 gamma=146.92
Sites, in units of the cell vectors:
Tb (0.091, 0.909, 0.628)
Tb (0.091, 0.909, 0.872)
Tb (0.361, 0.639, 0.540)
Tb (0.361, 0.639, 0.960)
Tb (0.639, 0.361, 0.040)
Tb (0.639, 0.361, 0.460)
Tb (0.909, 0.091, 0.128)
Tb (0.909, 0.091, 0.372)
Y (0.152, 0.848, 0.250)
Y (0.848, 0.152, 0.750)
S (0.000, 0.000, 0.000)
S (0.000, 0.000, 0.500)
S (0.195, 0.805, 0.750)
S (0.270, 0.730, 0.089)
S (0.270, 0.730, 0.411)
S (0.449, 0.551, 0.668)
S (0.449, 0.551, 0.832)
S (0.551, 0.449, 0.168)
S (0.551, 0.449, 0.332)
S (0.730, 0.270, 0.589)
S (0.730, 0.270, 0.911)
S (0.805, 0.195, 0.250)


No. 7
The following is a PBE-GGA calculation of an optimized crystal structure of Tb4YS4, from Alexandria via LeMat-Bulk.

Unit cell a=6.745 b=6.745 c=6.745 alpha=99.67 beta=99.67 gamma=131.62
Sites, in units of the cell vectors:
Tb (0.103, 0.698, 0.801)
Tb (0.302, 0.103, 0.405)
Tb (0.698, 0.897, 0.595)
Tb (0.897, 0.302, 0.199)
Y (0.500, 0.500, 0.000)
S (0.199, 0.401, 0.600)
S (0.401, 0.801, 0.202)
S (0.599, 0.199, 0.798)
S (0.801, 0.599, 0.400)


No. 8
The following is a PBE-GGA calculation of an optimized crystal structure of Tb2Y3S6, from Alexandria via LeMat-Bulk.

Unit cell a=6.778 b=6.778 c=6.762 alpha=99.64 beta=99.64 gamma=119.81
Sites, in units of the cell vectors:
Tb (0.166, 0.834, 0.000)
Tb (0.834, 0.166, 0.000)
Y (0.000, 0.000, 0.500)
Y (0.337, 0.663, 0.500)
Y (0.663, 0.337, 0.500)
S (0.082, 0.416, 0.748)
S (0.250, 0.250, 0.247)
S (0.416, 0.082, 0.748)
S (0.584, 0.918, 0.252)
S (0.750, 0.750, 0.753)
S (0.918, 0.584, 0.252)


Sequential total energy output: -7.108; -5.565; -6.289; -6.163; -6.371; -6.566; -6.388; -6.937 eV/atom